Here is an optimized crystal structure of AlFeGeS4 from OQMD via LeMat-Bulk. Energies are from PBE.

## Properties
- ρ (Mg/m³) = 3.7
- energy relative to the lowest polymorph listed for this composition (meV per atom) = 0

Cell lengths 7.1345, 7.1345, 9.9252 Å; angles 90.00, 90.00, 90.00 degrees
Last column: nearest neighbours and their distance in Å.
Fractional coordinates of all 28 atoms:
Al  0.5000  0.7563  0.0000  6 S 2.42-2.43
Al  0.2437  0.5000  0.2500  6 S 2.42-2.43
Al  0.5000  0.2437  0.5000  6 S 2.42-2.43
Al  0.7563  0.5000  0.7500  6 S 2.42-2.43
Fe  0.0000  0.7554  0.0000  6 S 2.28-2.30
Fe  0.2446  0.0000  0.2500  6 S 2.28-2.30
Fe  0.0000  0.2446  0.5000  6 S 2.28-2.30
Fe  0.7554  0.0000  0.7500  6 S 2.28-2.30
Ge  0.7546  0.2454  0.1250  4 S 2.45-2.47
Ge  0.7546  0.7546  0.3750  4 S 2.45-2.47
Ge  0.2454  0.7546  0.6250  4 S 2.45-2.47
Ge  0.2454  0.2454  0.8750  4 S 2.45-2.47
S  0.2387  0.5391  0.0075  1 Fe 2.30, 2 Al 2.42-2.43, 1 Ge 2.47
S  0.2364  0.9681  0.0203  2 Fe 2.28-2.29, 1 Al 2.42, 1 Ge 2.45
S  0.0319  0.7636  0.2297  2 Fe 2.28-2.29, 1 Al 2.42, 1 Ge 2.45
S  0.4609  0.7613  0.2425  1 Fe 2.30, 2 Al 2.42-2.43, 1 Ge 2.47
S  0.4609  0.2387  0.2575  1 Fe 2.30, 2 Al 2.42-2.43, 1 Ge 2.47
S  0.0319  0.2364  0.2703  2 Fe 2.28-2.29, 1 Al 2.42, 1 Ge 2.45
S  0.2364  0.0319  0.4797  2 Fe 2.28-2.29, 1 Al 2.42, 1 Ge 2.45
S  0.2387  0.4609  0.4925  1 Fe 2.30, 2 Al 2.42-2.43, 1 Ge 2.47
S  0.7613  0.4609  0.5075  1 Fe 2.30, 2 Al 2.42-2.43, 1 Ge 2.47
S  0.7636  0.0319  0.5203  2 Fe 2.28-2.29, 1 Al 2.42, 1 Ge 2.45
S  0.9681  0.2364  0.7297  2 Fe 2.28-2.29, 1 Al 2.42, 1 Ge 2.45
S  0.5391  0.2387  0.7425  1 Fe 2.30, 2 Al 2.42-2.43, 1 Ge 2.47
S  0.5391  0.7613  0.7575  1 Fe 2.30, 2 Al 2.42-2.43, 1 Ge 2.47
S  0.9681  0.7636  0.7703  2 Fe 2.28-2.29, 1 Al 2.42, 1 Ge 2.45
S  0.7636  0.9681  0.9797  2 Fe 2.28-2.29, 1 Al 2.42, 1 Ge 2.45
S  0.7613  0.5391  0.9925  1 Fe 2.30, 2 Al 2.42-2.43, 1 Ge 2.47